VASP calculation (PBE+U) on Ac2MnBO6 after structural relaxation.

Total energy ... -7.670 eV/atom
Space-group type ... No. 99

abc: 4.085 5.375 5.375
angles: 90.00 90.00 90.00
Each line ends with the local moment (μB).
Fractional coordinates of all 10 atoms:
O 0.660 0.229 0.771  -0.03
O 0.217 0.000 0.000  -0.01
O 0.660 0.771 0.771  -0.03
O 0.660 0.771 0.229  -0.03
O 0.660 0.229 0.229  -0.03
O 0.144 0.500 0.500  -0.03
Ac 0.124 0.500 0.000  0.00
Ac 0.124 0.000 0.500  0.00
B 0.558 0.000 0.000  0.03
Mn 0.640 0.500 0.500  4.04



VASP calculation (PBE+U) on AcMnBO4 after structural relaxation.

Total energy ... -7.475 eV/atom
Space-group type ... No. 74

abc: 5.651 6.399 6.399
angles: 79.53 63.80 63.80
Each line ends with the local moment (μB).
Fractional coordinates of all 14 atoms:
O 0.739 0.233 0.733  0.03
O 0.295 0.233 0.733  0.03
O 0.701 0.398 0.201  0.20
O 0.261 0.767 0.267  0.03
O 0.299 0.602 0.799  0.20
O 0.299 0.299 0.102  0.20
O 0.701 0.701 0.898  0.20
O 0.705 0.767 0.267  0.03
Mn 0.000 0.000 0.500  4.21
Mn 0.500 0.000 0.500  4.21
Ac 0.000 0.500 0.500  0.01
Ac 0.000 0.000 0.000  0.01
B 0.606 0.644 0.144  0.00
B 0.394 0.356 0.856  0.00



- Number 2 is which compound?
  AcMnBO4